VASP calculation (SCAN) on a crystal of Al2RhW relaxed with PBEsol.

Unit cell a=3.5042 b=4.0298 c=4.0298 alpha=90.00 beta=90.00 gamma=90.00
With the nearest neighbours (Å) after each atom.
Positions (direct):
1 Rh 0.5000 0.5000 0.5000  8 Al 2.67, 4 W 2.85
2 W 0.5000 0.0000 0.0000  8 Al 2.67, 4 Rh 2.85
3 Al 0.0000 0.5000 0.0000  4 W 2.67, 4 Rh 2.67, 4 Al 2.85
4 Al 0.0000 0.0000 0.5000  4 W 2.67, 4 Rh 2.67, 4 Al 2.85

## Properties
Calculated formation energy ... -1.574 eV per formula unit
V ... 56.9 Å³/f.u.

***

VASP calculation (SCAN) on a crystal of KMnP3HO10 relaxed with PBEsol.

Unit cell a=7.3174 b=7.3174 c=9.5963 alpha=70.70 beta=70.70 gamma=69.34
With the nearest neighbours (Å) after each atom.
Positions (direct):
1 O 0.7742 0.6496 0.4140  1 P 1.54
2 O 0.6119 0.0305 0.3766  1 H 1.20
3 O 0.3881 0.9695 0.6234  1 H 1.20
4 O 0.3804 0.1621 0.8070  1 P 1.50
5 O 0.6196 0.8379 0.1930  1 P 1.50
6 O 0.2258 0.3504 0.5860  1 P 1.54
7 O 0.9695 0.3881 0.1234  1 H 1.20
8 O 0.9308 0.9053 0.1967  2 P 1.58-1.63
9 O 0.0305 0.6119 0.8766  1 H 1.20
10 O 0.0692 0.0947 0.8033  2 P 1.58-1.63
11 O 0.2951 0.8558 0.1097  1 P 1.51
12 O 0.8379 0.6196 0.6930  1 P 1.50
13 O 0.9053 0.9308 0.6967  2 P 1.58-1.63
14 O 0.1442 0.7049 0.3903  1 P 1.51
15 O 0.3504 0.2258 0.0860  1 P 1.54
16 O 0.6496 0.7742 0.9140  1 P 1.54
17 O 0.1621 0.3804 0.3070  1 P 1.50
18 O 0.8558 0.2951 0.6097  1 P 1.51
19 O 0.7049 0.1442 0.8903  1 P 1.51
20 O 0.0947 0.0692 0.3033  2 P 1.58-1.63
21 Mn 0.0000 0.5000 0.5000  6 O 1.91-2.12
22 Mn 0.5000 0.0000 0.0000  6 O 1.91-2.12
23 K 0.5503 0.4497 0.2500  6 O 2.83-3.04
24 K 0.4497 0.5503 0.7500  6 O 2.83-3.04
25 P 0.8543 0.7199 0.8003  4 O 1.50-1.63
26 P 0.1457 0.2801 0.1997  4 O 1.50-1.63
27 P 0.1243 0.8757 0.2500  4 O 1.51-1.58
28 P 0.8757 0.1243 0.7500  4 O 1.51-1.58
29 P 0.2801 0.1457 0.6997  4 O 1.50-1.63
30 P 0.7199 0.8543 0.3003  4 O 1.50-1.63
31 H 0.5000 0.0000 0.5000  2 O 1.20
32 H 0.0000 0.5000 0.0000  2 O 1.20

## Properties
Total energy ... -10.033 eV per atom
V ... 220.1 Å³/f.u.

***

VASP calculation (SCAN) on a crystal of YMnNi2 relaxed with PBEsol.

Unit cell a=3.2520 b=3.2520 c=5.7618 alpha=90.00 beta=90.00 gamma=90.00
With the nearest neighbours (Å) after each atom.
Positions (direct):
1 Ni 0.0000 0.0000 0.9808  4 Mn 2.47, 4 Ni 2.68
2 Ni 0.5000 0.5000 0.2211  1 Mn 2.30
3 Mn 0.5000 0.5000 0.8226  5 Ni 2.30-2.47
4 Y 0.0000 0.0000 0.4755  6 Ni 2.73-2.91, 4 Mn 3.05

## Properties
Calculated formation energy ... -0.227 eV per formula unit
V ... 60.9 Å³/f.u.

***

VASP calculation (SCAN) on a crystal of TlAgSeBr2 relaxed with PBEsol.

Unit cell a=5.0230 b=5.2660 c=5.2660 alpha=90.00 beta=90.00 gamma=90.00
With the nearest neighbours (Å) after each atom.
Positions (direct):
1 Ag 0.0000 0.0000 0.0000  2 Se 2.51, 4 Br 2.63
2 Tl 0.5000 0.5000 0.5000  8 Br 3.64, 4 Se 3.72
3 Br 0.0000 0.0000 0.5000  2 Ag 2.63
4 Br 0.0000 0.5000 0.0000  2 Ag 2.63
5 Se 0.5000 0.0000 0.0000  2 Ag 2.51

## Properties
Energy relative to the elements, uncorrected ... -191 meV/atom
V ... 139.3 Å³/f.u.

***

VASP calculation (SCAN) on a crystal of SrTl3Au relaxed with PBEsol.

Unit cell a=6.0496 b=6.0496 c=6.0496 alpha=90.00 beta=90.00 gamma=90.00
With the nearest neighbours (Å) after each atom.
Positions (direct):
1 Tl 0.0000 0.5000 0.0000  2 Sr 3.02
2 Tl 0.0000 0.0000 0.5000  2 Sr 3.02
3 Tl 0.5000 0.0000 0.0000  2 Sr 3.02
4 Sr 0.0000 0.0000 0.0000  6 Tl 3.02
5 Au 0.5000 0.5000 0.5000  12 Tl 4.28

## Properties
Calculated formation energy ... 4.273 eV per formula unit
V ... 221.4 Å³/f.u.

***

VASP calculation (SCAN) on a crystal of Zn3FeAg relaxed with PBEsol.

Unit cell a=4.6682 b=4.6682 c=4.6682 alpha=90.00 beta=90.00 gamma=90.00
With the nearest neighbours (Å) after each atom.
Positions (direct):
1 Fe 0.5000 0.5000 0.5000  12 Zn 3.30
2 Zn 0.0000 0.5000 0.0000  2 Ag 2.33
3 Zn 0.5000 0.0000 0.0000  2 Ag 2.33
4 Zn 0.0000 0.0000 0.5000  2 Ag 2.33
5 Ag 0.0000 0.0000 0.0000  6 Zn 2.33

## Properties
Calculated formation energy ... 4.769 eV per formula unit
V ... 101.7 Å³/f.u.

***

VASP calculation (SCAN) on a crystal of TaMoW2 relaxed with PBEsol.

Unit cell a=3.1723 b=4.4900 c=5.2595 alpha=115.27 beta=107.55 gamma=90.00
With the nearest neighbours (Å) after each atom.
Positions (direct):
1 W 0.2494 0.7494 0.4988  2 Mo 2.72, 2 W 2.73, 4 Ta 2.75
2 W 0.9970 0.9970 0.9940  2 W 2.73, 4 Mo 2.75, 2 Ta 2.78
3 Mo 0.5026 0.5026 0.0052  6 W 2.72-2.75, 2 Ta 2.76
4 Ta 0.7510 0.2510 0.5021  6 W 2.75-2.78, 2 Mo 2.76

## Properties
Calculated formation energy ... -0.432 eV per formula unit
V ... 63.9 Å³/f.u.

***

VASP calculation (SCAN) on a crystal of CoReOs2 relaxed with PBEsol.

Unit cell a=2.7464 b=4.3220 c=5.1900 alpha=114.61 beta=105.34 gamma=90.00
With the nearest neighbours (Å) after each atom.
Positions (direct):
1 Re 0.5317 0.5317 0.0634  2 Co 2.42, 4 Os 2.62
2 Co 0.2517 0.7517 0.5034  2 Re 2.42, 6 Os 2.42-2.56
3 Os 0.9720 0.9720 0.9441  2 Co 2.42, 4 Re 2.62
4 Os 0.7446 0.2446 0.4891  4 Co 2.56, 4 Os 2.75-2.82

## Properties
Calculated formation energy ... 1.606 eV per formula unit
V ... 53.6 Å³/f.u.

***

VASP calculation (SCAN) on a crystal of Na2ZnS2 relaxed with PBEsol.

Unit cell a=6.8275 b=6.9932 c=8.7265 alpha=90.00 beta=94.02 gamma=90.00
With the nearest neighbours (Å) after each atom.
Positions (direct):
1 Na 0.0131 0.7338 0.0546  4 S 2.77-2.85
2 Na 0.5514 0.6701 0.6792  4 S 2.77-3.01, 1 Zn 3.09
3 Na 0.4869 0.2338 0.9454  4 S 2.77-2.85
4 Na 0.0514 0.8299 0.6792  4 S 2.77-3.01, 1 Zn 3.09
5 Na 0.9486 0.1701 0.3208  4 S 2.77-3.01, 1 Zn 3.09
6 Na 0.9869 0.2662 0.9454  4 S 2.77-2.85
7 Na 0.4486 0.3299 0.3208  4 S 2.77-3.01, 1 Zn 3.09
8 Na 0.5131 0.7662 0.0546  4 S 2.77-2.85
9 S 0.7545 0.9559 0.8553  1 Zn 2.27
10 S 0.2455 0.0441 0.1447  1 Zn 2.27
11 S 0.6912 0.8871 0.4098  3 Zn 2.33-2.41
12 S 0.7455 0.4559 0.1447  1 Zn 2.27
13 S 0.3088 0.1129 0.5902  3 Zn 2.33-2.41
14 S 0.8088 0.3871 0.5902  3 Zn 2.33-2.41
15 S 0.2545 0.5441 0.8553  1 Zn 2.27
16 S 0.1912 0.6129 0.4098  3 Zn 2.33-2.41
17 Zn 0.6573 0.0935 0.6271  4 S 2.27-2.41
18 Zn 0.8427 0.5935 0.3729  4 S 2.27-2.41
19 Zn 0.1573 0.4065 0.6271  4 S 2.27-2.41
20 Zn 0.3427 0.9065 0.3729  4 S 2.27-2.41

## Properties
Energy relative to the elements, uncorrected ... -1156 meV/atom
V ... 103.9 Å³/f.u.

***

VASP calculation (SCAN) on a crystal of Ca2AsBr relaxed with PBEsol.

Unit cell a=3.6618 b=3.6618 c=7.5732 alpha=90.00 beta=90.00 gamma=90.39
With the nearest neighbours (Å) after each atom.
Positions (direct):
1 As 0.5000 0.5000 0.5000  8 Ca 3.01-3.03
2 Ca 0.0000 0.0000 0.2946  4 As 3.01-3.03, 1 Ca 3.11
3 Ca 0.0000 0.0000 0.7054  4 As 3.01-3.03, 1 Ca 3.11
4 Br 0.5000 0.5000 0.0000  8 Ca 3.41-3.42, 4 Br 3.66, 2 As 3.79

## Properties
Energy relative to the elements, uncorrected ... -1410 meV/atom
V ... 101.5 Å³/f.u.

***

VASP calculation (SCAN) on a crystal of FeH3Ir relaxed with PBEsol.

Unit cell a=3.4071 b=3.4071 c=3.4071 alpha=90.00 beta=90.00 gamma=90.00
With the nearest neighbours (Å) after each atom.
Positions (direct):
1 Ir 0.0000 0.0000 0.0000  6 H 1.70
2 H 0.0000 0.5000 0.0000  2 Ir 1.70
3 H 0.0000 0.0000 0.5000  2 Ir 1.70
4 H 0.5000 0.0000 0.0000  2 Ir 1.70
5 Fe 0.5000 0.5000 0.5000  12 H 2.41

## Properties
Total energy ... -19.664 eV per atom
V ... 39.6 Å³/f.u.

***

VASP calculation (SCAN) on a crystal of GaNi4Ge3 relaxed with PBEsol.

Unit cell a=3.8075 b=4.8544 c=6.0729 alpha=101.04 beta=108.27 gamma=90.00
With the nearest neighbours (Å) after each atom.
Positions (direct):
1 Ni 0.9986 0.5005 0.9972  4 Ge 2.37-2.39, 2 Ga 2.39, 3 Ni 2.42-2.65
2 Ni 0.9984 0.9994 0.9968  4 Ge 2.41-2.46, 4 Ni 2.42-2.62, 2 Ga 2.43
3 Ni 0.2080 0.3324 0.4160  4 Ge 2.43-2.47, 2 Ga 2.44, 4 Ni 2.57-2.70
4 Ni 0.7941 0.6681 0.5882  6 Ge 2.42-2.49, 4 Ni 2.57-2.65
5 Ge 0.8139 0.1733 0.6279  6 Ni 2.39-2.47
6 Ge 0.1840 0.8244 0.3680  6 Ni 2.39-2.49
7 Ge 0.4293 0.7075 0.8585  6 Ni 2.37-2.44
8 Ga 0.5737 0.2944 0.1474  6 Ni 2.39-2.44

## Properties
Calculated formation energy ... -2.714 eV per formula unit
V ... 104.4 Å³/f.u.

***

| no. | density (g cm⁻³) |
| --- | --- |
| 1 | 9.94 |
| 2 | 2.62 |
| 3 | 7.12 |
| 4 | 6.57 |
| 5 | 6.73 |
| 6 | 5.88 |
| 7 | 16.76 |
| 8 | 19.39 |
| 9 | 2.80 |
| 10 | 3.84 |
| 11 | 10.54 |
| 12 | 8.31 |